A plane-wave DFT calculation with PBE+U was carried out for crystalline NaSrSnWO6 at its relaxed geometry.

Structure (extended XYZ):
```
10
Lattice="0.000 4.048 4.048 4.048 0.000 4.048 4.048 4.048 0.000" Properties=species:S:1:pos:R:3 pbc="T T T"
Na 0.000 0.000 0.000
Sr 4.048 4.048 4.048
Sn 2.024 2.024 2.024
W 6.072 6.072 6.072
O 6.072 6.072 4.078
O 6.072 4.078 6.072
O 8.067 6.072 6.072
O 4.078 6.072 6.072
O 6.072 8.067 6.072
O 6.072 6.072 8.067
```

symmetry: F-43m (216)
calculated density: 6.372 g/cm³
DFT total energy: -6.39 eV per atom